# 1
DFT (GGA-PBE) results for a geometry-optimized MgPt2Au structure.

Calculated values
Calculated total energy in Ry/atom: -0.32741
Total magnetization in μB/f.u.: 0.0
Fermi-level density of states in states/eV per cell: 5.7
Crystal system: tetragonal

a b c (Å): 3.8818 3.8818 9.8871
angles (deg): 78.68 78.68 90.00
Fractional coordinates of all 8 atoms:
Mg: 0.5000 0.5000 0.0000
Mg: 0.2500 0.7500 0.5000
Au: 0.0000 0.0000 0.0000
Au: 0.7500 0.2500 0.5000
Pt: 0.6248 0.1250 0.2500
Pt: 0.1252 0.6250 0.2500
Pt: 0.3750 0.3752 0.7500
Pt: 0.8750 0.8748 0.7500

---

# 2
DFT (GGA-PBE) results for a geometry-optimized NaVTcS3 structure.

Calculated values
ΔE_f (raw) in eV/atom: -0.844
Total magnetization in μB/f.u.: 0.0
Fermi-level density of states in states/eV per cell: 4.1
Crystal system: monoclinic

a b c (Å): 3.2268 7.7340 9.5611
angles (deg): 115.54 90.00 90.00
Fractional coordinates of all 12 atoms:
Na: 0.2500 0.2147 0.2201
Na: 0.7500 0.7853 0.7799
V: 0.2500 0.6429 0.0883
V: 0.7500 0.3571 0.9117
Tc: 0.2500 0.1310 0.6354
Tc: 0.7500 0.8690 0.3646
S: 0.7500 0.8802 0.1180
S: 0.2500 0.1198 0.8820
S: 0.2500 0.7996 0.5105
S: 0.7500 0.2004 0.4895
S: 0.7500 0.4957 0.1832
S: 0.2500 0.5043 0.8168

---

# 3
DFT (GGA-PBE) results for a geometry-optimized V3OsW3 structure.

Calculated values
Calculated total energy in Ry/atom: -0.79158
Total magnetization in μB/f.u.: 0.0
Fermi-level density of states in states/eV per cell: 6.5
Crystal system: trigonal

a b c (Å): 6.0275 6.0275 6.0275
angles (deg): 89.49 89.49 89.49
Fractional coordinates of all 14 atoms:
V: 0.3934 0.3934 0.8780
V: 0.3780 0.8934 0.8934
V: 0.8934 0.3780 0.8934
V: 0.3934 0.8780 0.3934
V: 0.8780 0.3934 0.3934
V: 0.8934 0.8934 0.3780
Os: 0.6220 0.6220 0.6220
Os: 0.1220 0.1220 0.1220
W: 0.1121 0.6586 0.6586
W: 0.1586 0.1586 0.6121
W: 0.1586 0.6121 0.1586
W: 0.6586 0.1121 0.6586
W: 0.6121 0.1586 0.1586
W: 0.6586 0.6586 0.1121

---

# 4
DFT (GGA-PBE) results for a geometry-optimized Sm3Cd7Hg2 structure.

Calculated values
Calculated total energy in Ry/atom: -0.14689
Total magnetization in μB/f.u.: 0.0
Fermi-level density of states in states/eV per cell: 8.8
Crystal system: trigonal

a b c (Å): 5.9745 5.9745 10.2471
angles (deg): 73.05 73.05 60.00
Fractional coordinates of all 12 atoms:
Sm: 0.0000 0.0000 0.0000
Sm: 0.8593 0.8593 0.4221
Sm: 0.1407 0.1407 0.5779
Cd: 0.5000 0.5000 0.5000
Cd: 0.9221 0.4112 0.2555
Cd: 0.4112 0.9221 0.2555
Cd: 0.4112 0.4112 0.2555
Cd: 0.0779 0.5888 0.7445
Cd: 0.5888 0.5888 0.7445
Cd: 0.5888 0.0779 0.7445
Hg: 0.6648 0.6648 0.0056
Hg: 0.3352 0.3352 0.9944

---

# 5
DFT (GGA-PBE) results for a geometry-optimized DyMg8Cd2 structure.

Calculated values
Calculated total energy in Ry/atom: -0.12495
Total magnetization in μB/f.u.: 0.0
Fermi-level density of states in states/eV per cell: 4.6
Crystal system: monoclinic

a b c (Å): 5.3034 7.9490 7.9490
angles (deg): 118.13 78.57 78.57
Fractional coordinates of all 11 atoms:
Dy: 0.5000 0.0000 0.0000
Mg: 0.8753 0.0871 0.3166
Mg: 0.8753 0.3166 0.0871
Mg: 0.3033 0.4142 0.4142
Mg: 0.5000 0.2335 0.7665
Mg: 0.5000 0.7665 0.2335
Mg: 0.6967 0.5858 0.5858
Mg: 0.1247 0.6834 0.9129
Mg: 0.1247 0.9129 0.6834
Cd: 0.0000 0.6891 0.3109
Cd: 0.0000 0.3109 0.6891

---

# 6
DFT (GGA-PBE) results for a geometry-optimized PmPaTeIr structure.

Calculated values
ΔE_f (raw) in eV/atom: -0.937
Total magnetization in μB/f.u.: 0.0
Fermi-level density of states in states/eV per cell: 4.4
Crystal system: trigonal

a b c (Å): 4.0898 4.0901 8.0233
angles (deg): 90.00 104.77 120.00
Fractional coordinates of all 4 atoms:
Pm: 0.4950 0.1455 0.6557
Pa: 0.1035 0.9497 0.0685
Te: 0.9619 0.3790 0.3560
Ir: 0.3175 0.5567 0.8894

---

# 7
DFT (GGA-PBE) results for a geometry-optimized Sm4Tl structure.

Calculated values
Energy relative to the lowest polymorph listed for this composition in meV per atom: 49
Total magnetization in μB/f.u.: 0.0
Fermi-level density of states in states/eV per cell: 13.3
Crystal system: monoclinic

a b c (Å): 6.3868 6.1560 9.0853
angles (deg): 90.00 90.00 66.84
Fractional coordinates of all 10 atoms:
Sm: 0.1922 0.9391 0.3326
Sm: 0.8078 0.5609 0.3326
Sm: 0.2480 0.4808 0.0768
Sm: 0.7520 0.0192 0.0768
Sm: 0.7520 0.5192 0.9232
Sm: 0.2480 0.9808 0.9232
Sm: 0.1922 0.4391 0.6674
Sm: 0.8078 0.0609 0.6674
Tl: 0.5000 0.7500 0.6194
Tl: 0.5000 0.2500 0.3806

---

# 8
DFT (GGA-PBE) results for a geometry-optimized LaCrPtS2 structure.

Calculated values
ΔE_f (raw) in eV/atom: -0.812
Total magnetization in μB/f.u.: 2.6
Fermi-level density of states in states/eV per cell: 4.0
Crystal system: tetragonal

a b c (Å): 4.6213 4.7630 4.6213
angles (deg): 90.00 90.00 90.00
Fractional coordinates of all 5 atoms:
Cr: 0.0000 0.0000 0.0000
S: 0.0000 0.0000 0.5000
S: 0.5000 0.0000 0.0000
Pt: 0.0000 0.5000 0.0000
La: 0.5000 0.5000 0.5000

---

# 9
DFT (GGA-PBE) results for a geometry-optimized BaIn2AgO structure.

Calculated values
ΔE_f (raw) in eV/atom: 0.021
Total magnetization in μB/f.u.: 0.0
Fermi-level density of states in states/eV per cell: 2.9
Crystal system: tetragonal

a b c (Å): 5.0661 6.6201 5.0661
angles (deg): 90.00 90.00 90.00
Fractional coordinates of all 5 atoms:
O: 0.5000 0.5000 0.5000
Ba: 0.0000 0.5000 0.0000
Ag: 0.0000 0.0000 0.0000
In: 0.0000 0.0000 0.5000
In: 0.5000 0.0000 0.0000

---

# 10
DFT (GGA-PBE) results for a geometry-optimized Ag6SbAu4 structure.

Calculated values
ΔE_f (raw) in eV/atom: 0.212
Total magnetization in μB/f.u.: 0.0
Fermi-level density of states in states/eV per cell: 3.1
Crystal system: tetragonal

a b c (Å): 7.1278 7.1278 7.1278
angles (deg): 84.29 123.35 123.35
Fractional coordinates of all 11 atoms:
Ag: 0.0000 0.7585 0.4632
Ag: 0.0000 0.4632 0.7585
Ag: 0.7047 0.2415 0.2415
Ag: 0.5000 0.0000 0.5000
Ag: 0.2953 0.5368 0.5368
Ag: 0.5000 0.5000 0.0000
Sb: 0.0000 0.0000 0.0000
Au: 0.0000 0.0939 0.6139
Au: 0.4800 0.3861 0.3861
Au: 0.0000 0.6139 0.0939
Au: 0.5200 0.9061 0.9061

---

# 11
DFT (GGA-PBE) results for a geometry-optimized Ba2FePb structure.

Calculated values
Energy relative to the lowest polymorph listed for this composition in meV per atom: 134
Total magnetization in μB/f.u.: 2.6
Fermi-level density of states in states/eV per cell: 6.8
Crystal system: tetragonal

a b c (Å): 4.0070 4.0058 8.9253
angles (deg): 90.00 90.00 90.00
Fractional coordinates of all 4 atoms:
Ba: 0.0000 0.0000 0.0184
Ba: 0.0000 0.0000 0.4816
Fe: 0.5000 0.5000 0.2500
Pb: 0.5000 0.5000 0.7500

---

# 12
DFT (GGA-PBE) results for a geometry-optimized LiTl5 structure.

Calculated values
Energy relative to the lowest polymorph listed for this composition in meV per atom: 25
Total magnetization in μB/f.u.: 0.0
Fermi-level density of states in states/eV per cell: 1.7
Crystal system: orthorhombic

a b c (Å): 9.1828 9.1828 5.3173
angles (deg): 90.00 90.00 157.67
Fractional coordinates of all 6 atoms:
Li: 0.9929 0.0071 0.0000
Tl: 0.3419 0.6581 0.0000
Tl: 0.6542 0.3458 0.0000
Tl: 0.4532 0.5468 0.5000
Tl: 0.7815 0.2185 0.5000
Tl: 0.1096 0.8904 0.5000

---

# 13
DFT (GGA-PBE) results for a geometry-optimized K3Hf3ZrSe8 structure.

Calculated values
ΔE_f (raw) in eV/atom: -1.348
Total magnetization in μB/f.u.: 0.0
Fermi-level density of states in states/eV per cell: 7.2
Crystal system: monoclinic

a b c (Å): 7.6575 7.6550 9.0837
angles (deg): 114.85 90.00 120.03
Fractional coordinates of all 15 atoms:
K: 0.0000 0.0000 0.0000
K: 0.0000 0.5000 0.0000
K: 0.5000 0.5000 0.0000
Hf: 0.5000 0.0000 0.5000
Hf: 0.5000 0.5000 0.5000
Hf: 0.0000 0.5000 0.5000
Zr: 0.0000 0.0000 0.5000
Se: 0.2666 0.5331 0.3000
Se: 0.7334 0.4669 0.7000
Se: 0.7628 0.5257 0.2992
Se: 0.2372 0.4743 0.7008
Se: 0.7629 0.0359 0.2992
Se: 0.2371 0.9641 0.7008
Se: 0.2730 0.0359 0.2992
Se: 0.7270 0.9641 0.7008

---

# 14
DFT (GGA-PBE) results for a geometry-optimized Mg2ScSi structure.

Calculated values
ΔE_f (raw) in eV/atom: 0.011
Total magnetization in μB/f.u.: 0.4
Fermi-level density of states in states/eV per cell: 2.3
Crystal system: tetragonal

a b c (Å): 3.2210 3.2210 7.9381
angles (deg): 90.00 90.00 90.00
Fractional coordinates of all 4 atoms:
Mg: 0.0000 0.0000 0.9644
Mg: 0.0000 0.0000 0.5356
Sc: 0.5000 0.5000 0.2500
Si: 0.5000 0.5000 0.7500

---

# 15
DFT (GGA-PBE) results for a geometry-optimized Hf3Ti2N2 structure.

Calculated values
ΔE_f (raw) in eV/atom: -0.684
Total magnetization in μB/f.u.: 0.0
Fermi-level density of states in states/eV per cell: 5.6
Crystal system: monoclinic

a b c (Å): 2.9742 5.3043 7.6696
angles (deg): 112.65 90.00 106.28
Fractional coordinates of all 7 atoms:
Hf: 0.5000 0.0000 0.0000
Hf: 0.6105 0.2210 0.4195
Hf: 0.3895 0.7790 0.5805
Ti: 0.8054 0.6108 0.2007
Ti: 0.1946 0.3892 0.7993
N: 0.8078 0.6157 0.7292
N: 0.1922 0.3843 0.2708

---

# 16
DFT (GGA-PBE) results for a geometry-optimized BeAu2Se structure.

Calculated values
ΔE_f (raw) in eV/atom: 0.100
Energy relative to the lowest polymorph listed for this composition in meV per atom: 138
Total magnetization in μB/f.u.: 0.0
Fermi-level density of states in states/eV per cell: 0.4
Crystal system: orthorhombic

a b c (Å): 2.9040 2.9040 9.2620
angles (deg): 90.00 90.00 111.45
Fractional coordinates of all 4 atoms:
Be: 0.0000 0.0000 0.4963
Au: 0.0000 0.0000 0.0372
Au: 0.5000 0.5000 0.3046
Se: 0.5000 0.5000 0.6619

---

# 17
DFT (GGA-PBE) results for a geometry-optimized Al2HgP structure.

Calculated values
Energy relative to the lowest polymorph listed for this composition in meV per atom: 86
Total magnetization in μB/f.u.: 0.0
Fermi-level density of states in states/eV per cell: 1.5
Crystal system: monoclinic

a b c (Å): 7.1026 7.1026 3.4894
angles (deg): 89.93 89.93 27.42
Fractional coordinates of all 4 atoms:
P: 0.2884 0.2884 0.1245
Hg: 0.5484 0.5484 0.6257
Al: 0.9213 0.9213 0.1252
Al: 0.7419 0.7419 0.6246

---

# 18
DFT (GGA-PBE) results for a geometry-optimized Nb4OsRu structure.

Calculated values
Calculated total energy in Ry/atom: -0.72861
Total magnetization in μB/f.u.: 0.0
Fermi-level density of states in states/eV per cell: 4.8
Crystal system: monoclinic

a b c (Å): 4.3743 4.3767 6.1773
angles (deg): 89.93 89.96 90.00
Fractional coordinates of all 6 atoms:
Nb: 0.5013 0.9969 0.2484
Nb: 0.5013 0.9977 0.7479
Nb: 0.0015 0.4973 0.7478
Nb: 0.0011 0.4972 0.2485
Os: 0.5013 0.4973 0.9981
Ru: 0.0013 0.9973 0.4981

---

# 19
DFT (GGA-PBE) results for a geometry-optimized CuRe2Ir structure.

Calculated values
Energy relative to the lowest polymorph listed for this composition in meV per atom: 82
Total magnetization in μB/f.u.: 0.0
Fermi-level density of states in states/eV per cell: 3.6
Crystal system: tetragonal

a b c (Å): 4.8657 4.8657 4.8657
angles (deg): 134.96 134.98 65.57
Fractional coordinates of all 4 atoms:
Cu: 0.7500 0.2500 0.5000
Ir: 0.2500 0.7500 0.5000
Re: 0.0000 0.0000 0.0000
Re: 0.5000 0.5000 0.0000

---

# 20
DFT (GGA-PBE) results for a geometry-optimized PmTm2ScTl4 structure.

Calculated values
Calculated total energy in Ry/atom: -0.29264
Total magnetization in μB/f.u.: 0.0
Fermi-level density of states in states/eV per cell: 6.5
Crystal system: trigonal

a b c (Å): 5.2995 5.2995 9.2456
angles (deg): 73.35 73.35 60.00
Fractional coordinates of all 8 atoms:
Pm: 0.0000 0.0000 0.0000
Tm: 0.7515 0.7515 0.7456
Tm: 0.2485 0.2485 0.2544
Sc: 0.5000 0.5000 0.5000
Tl: 0.3781 0.3781 0.8656
Tl: 0.8724 0.8724 0.3829
Tl: 0.1276 0.1276 0.6171
Tl: 0.6219 0.6219 0.1344